The following is a SCAN calculation of a crystal of ZrSc2 relaxed with PBEsol, from Alexandria.

Cell: 4.9659 4.9659 6.3205 Å, 90.00 90.00 120.00°
Last column: nearest neighbours and their distance in Å.
Atoms (fractional coordinates):
Zr: 0.3333 0.6667 0.7500  5 Sc 2.87-3.16
Zr: 0.6667 0.3333 0.2500  5 Sc 2.87-3.16
Sc: 0.6667 0.3333 0.7500  5 Zr 2.87-3.16
Sc: 0.0000 0.0000 0.5000  8 Sc 3.16-3.27, 6 Zr 3.27
Sc: 0.3333 0.6667 0.2500  5 Zr 2.87-3.16
Sc: 0.0000 0.0000 0.0000  8 Sc 3.16-3.27, 6 Zr 3.27

Values from the calculation:
Magnetic moment (Bohr magnetons per cell): 0.0
Formation enthalpy at 0 K (kJ per mole of atoms): 6.7
Uncorrected energy (eV per atom): -19.6545
SG: No. 194